This record from the Alexandria database describes crystalline Pm4NdPb at its relaxed geometry. The functional is GGA-PBE.

The structure in POSCAR format:
```
Pm4NdPb
1.0
8.8391 -1.6205 0.0000
-5.0518 7.4320 0.0000
-1.8936 -2.9058 8.2902
Pm Nd Pb
8 2 2
Direct
0.2382 0.9688 0.7306
0.7301 0.4693 0.7392
0.7188 0.4882 0.2306
0.2193 0.9801 0.2392
0.2576 0.4882 0.7694
0.7409 0.9801 0.7608
0.7301 0.9909 0.2608
0.2382 0.5076 0.2694
0.2857 0.2857 0.0000
0.0357 0.5357 0.5000
0.7777 0.7777 0.0000
0.5277 0.0277 0.5000
```

Properties
space group = I4_1md
DFT total energy = -4.23 eV per atom
M_tot = 0.002 μB/atom
formation enthalpy at 0 K = 352.9 meV per atom